No. 1
The following is a DFT calculation (PBE-GGA) of a relaxed Ni2Se crystal.

mass density: 8.4 g/cm³
E: -4.972 eV/atom
crystal system: tetragonal
SG: I4/mmm (139)

a b c (Å): 4.287 4.287 4.287
angles (deg): 134.98 134.98 65.56
Atoms (fractional coordinates):
Ni 0.173 0.173 0.000
Ni 0.827 0.827 0.000
Se 0.500 0.500 0.000

No. 2
The following is a DFT calculation (PBE-GGA) of a relaxed Ni2Se crystal.

mass density: 8.1 g/cm³
E: -5.031 eV/atom
crystal system: monoclinic
SG: C2/m (12)

a b c (Å): 5.286 5.286 5.001
angles (deg): 108.28 108.28 37.91
Atoms (fractional coordinates):
Ni 0.037 0.037 0.278
Ni 0.365 0.365 0.332
Ni 0.635 0.635 0.668
Ni 0.963 0.963 0.722
Se 0.327 0.327 0.828
Se 0.673 0.673 0.172

No. 3
The following is a DFT calculation (PBE-GGA) of a relaxed NiSe5 crystal.

mass density: 6.0 g/cm³
E: -2.934 eV/atom
crystal system: cubic
ΔE to the lowest computed polymorph: 1.0015 eV per atom
SG: F-43m (216)

a b c (Å): 5.608 5.608 5.608
angles (deg): 60.00 60.00 60.00
Atoms (fractional coordinates):
Ni 0.000 0.000 0.000
Se 0.375 0.375 0.375
Se 0.375 0.375 0.875
Se 0.375 0.875 0.375
Se 0.750 0.750 0.750
Se 0.875 0.375 0.375

No. 4
The following is a DFT calculation (PBE-GGA) of a relaxed Ni2Se crystal.

mass density: 7.2 g/cm³
E: -4.827 eV/atom
crystal system: cubic
SG: Pa-3 (205)

a b c (Å): 5.649 5.649 5.649
angles (deg): 90.00 90.00 90.00
Atoms (fractional coordinates):
Ni 0.135 0.135 0.135
Ni 0.135 0.365 0.635
Ni 0.365 0.635 0.135
Ni 0.365 0.865 0.635
Ni 0.635 0.135 0.365
Ni 0.635 0.365 0.865
Ni 0.865 0.635 0.365
Ni 0.865 0.865 0.865
Se 0.000 0.000 0.500
Se 0.000 0.500 0.000
Se 0.500 0.000 0.000
Se 0.500 0.500 0.500

No. 5
The following is a DFT calculation (PBE-GGA) of a relaxed NiSe5 crystal.

mass density: 6.3 g/cm³
E: -3.448 eV/atom
crystal system: tetragonal
ΔE to the lowest computed polymorph: 0.4879 eV per atom
SG: P4/mmm (123)

a b c (Å): 3.217 3.217 11.590
angles (deg): 90.00 90.00 90.00
Atoms (fractional coordinates):
Ni 0.000 0.000 0.000
Se 0.000 0.000 0.346
Se 0.000 0.000 0.654
Se 0.500 0.500 0.109
Se 0.500 0.500 0.500
Se 0.500 0.500 0.891

No. 6
The following is a DFT calculation (PBE-GGA) of a relaxed Ni4Se5 crystal.

mass density: 4.2 g/cm³
E: -4.373 eV/atom
crystal system: tetragonal
ΔE to the lowest computed polymorph: 0.0685 eV per atom
SG: I4/mmm (139)

a b c (Å): 9.517 9.517 9.517
angles (deg): 91.22 91.22 163.23
Atoms (fractional coordinates):
Ni 0.000 0.170 0.170
Ni 0.000 0.830 0.830
Ni 0.170 0.000 0.170
Ni 0.830 0.000 0.830
Se 0.000 0.000 0.000
Se 0.340 0.340 0.680
Se 0.340 0.660 0.000
Se 0.660 0.340 0.000
Se 0.660 0.660 0.320

No. 7
The following is a DFT calculation (PBE-GGA) of a relaxed Ni3Se2 crystal.

mass density: 7.3 g/cm³
E: -5.130 eV/atom
crystal system: trigonal
SG: R32 (155)

a b c (Å): 4.243 4.243 4.243
angles (deg): 90.68 90.68 90.68
Atoms (fractional coordinates):
Ni 0.000 0.752 0.248
Ni 0.248 0.000 0.752
Ni 0.752 0.248 0.000
Se 0.258 0.258 0.258
Se 0.742 0.742 0.742

No. 8
The following is a DFT calculation (PBE-GGA) of a relaxed Ni2Se crystal.

mass density: 7.8 g/cm³
E: -5.106 eV/atom
crystal system: orthorhombic
SG: Pnma (62)

a b c (Å): 6.440 3.684 7.064
angles (deg): 90.00 90.00 90.00
Atoms (fractional coordinates):
Ni 0.084 0.250 0.119
Ni 0.165 0.250 0.756
Ni 0.335 0.750 0.256
Ni 0.416 0.750 0.619
Ni 0.584 0.250 0.381
Ni 0.665 0.250 0.744
Ni 0.835 0.750 0.244
Ni 0.916 0.750 0.881
Se 0.220 0.250 0.430
Se 0.280 0.750 0.930
Se 0.720 0.250 0.070
Se 0.780 0.750 0.570

No. 9
The following is a DFT calculation (PBE-GGA) of a relaxed Ni4Se5 crystal.

mass density: 7.1 g/cm³
E: -4.441 eV/atom
crystal system: hexagonal
ΔE to the lowest computed polymorph: 0.0000 eV per atom
SG: P6_3/mcm (193)

a b c (Å): 7.021 7.021 6.937
angles (deg): 90.00 90.00 120.00
Atoms (fractional coordinates):
Ni 0.000 0.000 0.000
Ni 0.000 0.000 0.500
Ni 0.000 0.424 0.250
Ni 0.000 0.576 0.750
Ni 0.424 0.000 0.250
Ni 0.424 0.424 0.750
Ni 0.576 0.000 0.750
Ni 0.576 0.576 0.250
Se 0.000 0.242 0.750
Se 0.000 0.758 0.250
Se 0.242 0.000 0.750
Se 0.242 0.242 0.250
Se 0.333 0.667 0.000
Se 0.333 0.667 0.500
Se 0.667 0.333 0.000
Se 0.667 0.333 0.500
Se 0.758 0.000 0.250
Se 0.758 0.758 0.750

No. 10
The following is a DFT calculation (PBE-GGA) of a relaxed NiSe5 crystal.

mass density: 4.4 g/cm³
E: -3.849 eV/atom
crystal system: monoclinic
ΔE to the lowest computed polymorph: 0.0866 eV per atom
SG: Cm (8)

a b c (Å): 5.650 5.650 8.927
angles (deg): 92.47 92.47 36.90
Atoms (fractional coordinates):
Ni 0.000 0.000 0.000
Se 0.386 0.386 0.453
Se 0.395 0.395 0.876
Se 0.527 0.527 0.666
Se 0.621 0.621 0.110
Se 0.987 0.987 0.278

No. 11
The following is a DFT calculation (PBE-GGA) of a relaxed Ni2Se crystal.

mass density: 7.9 g/cm³
E: -5.033 eV/atom
crystal system: orthorhombic
SG: Cmcm (63)

a b c (Å): 4.542 4.542 4.097
angles (deg): 90.00 90.00 76.50
Atoms (fractional coordinates):
Ni 0.051 0.315 0.250
Ni 0.315 0.051 0.750
Ni 0.685 0.949 0.250
Ni 0.949 0.685 0.750
Se 0.244 0.756 0.250
Se 0.756 0.244 0.750

No. 12
The following is a DFT calculation (PBE-GGA) of a relaxed SiNiSe2 crystal.

mass density: 4.9 g/cm³
E: -4.508 eV/atom
crystal system: orthorhombic
SG: Imm2 (44)

a b c (Å): 7.813 7.813 7.813
angles (deg): 155.98 154.91 35.01
Atoms (fractional coordinates):
Si 0.000 0.000 0.000
Ni 0.874 0.374 0.500
Se 0.328 0.828 0.500
Se 0.572 0.572 0.000

No. 13
The following is a DFT calculation (PBE-GGA) of a relaxed SiNiSe2 crystal.

mass density: 5.9 g/cm³
E: -4.465 eV/atom
crystal system: orthorhombic
SG: Cmmm (65)

a b c (Å): 4.478 4.478 3.659
angles (deg): 90.00 90.00 109.33
Atoms (fractional coordinates):
Si 0.000 0.000 0.000
Ni 0.500 0.500 0.000
Se 0.278 0.722 0.500
Se 0.722 0.278 0.500

No. 14
The following is a DFT calculation (PBE-GGA) of a relaxed SiNiSe2 crystal.

mass density: 6.1 g/cm³
E: -3.966 eV/atom
crystal system: cubic
SG: F-43m (216)

a b c (Å): 4.544 4.544 4.544
angles (deg): 60.00 60.00 60.00
Atoms (fractional coordinates):
Si 0.000 0.000 0.000
Ni 0.750 0.750 0.750
Se 0.250 0.250 0.250
Se 0.500 0.500 0.500

No. 15
The following is a DFT calculation (PBE-GGA) of a relaxed SiNiSe2 crystal.

mass density: 4.9 g/cm³
E: -4.181 eV/atom
crystal system: tetragonal
SG: I-4m2 (119)

a b c (Å): 7.207 7.207 7.207
angles (deg): 152.01 152.01 40.00
Atoms (fractional coordinates):
Si 0.000 0.000 0.000
Ni 0.250 0.750 0.500
Se 0.500 0.500 0.000
Se 0.750 0.250 0.500

No. 16
The following is a DFT calculation (PBE-GGA) of a relaxed Si2NiSe crystal.

mass density: 5.4 g/cm³
E: -4.910 eV/atom
crystal system: monoclinic
SG: C2/m (12)

a b c (Å): 5.269 5.269 3.583
angles (deg): 108.70 108.70 124.08
Atoms (fractional coordinates):
Si 0.000 0.500 0.000
Si 0.500 0.000 0.000
Ni 0.000 0.000 0.500
Se 0.500 0.500 0.500

No. 17
The following is a DFT calculation (PBE-GGA) of a relaxed Si2NiSe crystal.

mass density: 5.0 g/cm³
E: -5.017 eV/atom
crystal system: monoclinic
SG: Cm (8)

a b c (Å): 3.893 3.893 5.856
angles (deg): 110.34 110.34 51.78
Atoms (fractional coordinates):
Si 0.000 0.000 0.000
Si 0.224 0.224 0.791
Ni 0.461 0.461 0.601
Se 0.668 0.668 0.357

No. 18
The following is a DFT calculation (PBE-GGA) of a relaxed SiNiSe2 crystal.

mass density: 5.0 g/cm³
E: -4.710 eV/atom
crystal system: orthorhombic
SG: Immm (71)

a b c (Å): 7.064 7.064 7.064
angles (deg): 151.92 150.60 41.11
Atoms (fractional coordinates):
Si 0.000 0.000 0.000
Ni 0.500 0.500 0.000
Se 0.132 0.632 0.500
Se 0.868 0.368 0.500

No. 19
The following is a DFT calculation (PBE-GGA) of a relaxed Si2NiSe crystal.

mass density: 5.2 g/cm³
E: -4.823 eV/atom
crystal system: orthorhombic
SG: Immm (71)

a b c (Å): 5.891 5.891 5.891
angles (deg): 154.02 136.54 51.33
Atoms (fractional coordinates):
Si 0.199 0.199 0.000
Si 0.801 0.801 0.000
Ni 0.000 0.500 0.500
Se 0.500 0.000 0.500

No. 20
The following is a DFT calculation (PBE-GGA) of a relaxed SiNiSe2 crystal.

mass density: 4.5 g/cm³
E: -4.778 eV/atom
crystal system: monoclinic
SG: Pm (6)

a b c (Å): 3.921 3.641 6.302
angles (deg): 90.00 93.35 90.00
Atoms (fractional coordinates):
Si 0.000 0.000 0.000
Ni 0.343 0.500 0.998
Se 0.529 0.000 0.762
Se 0.911 0.500 0.250